No. 1
Sr2ZnSe GGA-PBE optimized geometry; final energy = -3.043 eV/atom
1.0
-3.3487 1.6064 2.4100
0.7267 -3.0994 3.0757
8.4337 8.0799 6.1497
Sr Zn Se
4 2 2
Direct
0.7510 0.2500 0.1212
0.2556 0.7500 0.3507
0.2490 0.7500 0.8788
0.7444 0.2500 0.6493
0.2424 0.7500 0.5881
0.7576 0.2500 0.4119
0.7491 0.2500 0.8841
0.2509 0.7500 0.1159

No. 2
ZnCu2SnS4 GGA-PBE optimized geometry; final energy = -4.105 eV/atom
1.0
-7.3641 1.0712 -1.8564
1.3334 -1.7175 -6.2804
-1.2341 -6.0641 1.3964
S Cu Sn Zn
8 4 2 2
Direct
0.7417 0.8455 0.3658
0.0000 0.6747 0.8880
0.7583 0.1545 0.8658
0.2417 0.1545 0.8658
0.5000 0.6825 0.8708
0.2583 0.8455 0.3658
0.5000 0.3253 0.3880
0.0000 0.3175 0.3708
0.7509 0.1692 0.5034
0.7491 0.8308 0.0034
0.2491 0.1692 0.5034
0.2509 0.8308 0.0034
0.0000 0.6662 0.4991
0.5000 0.3338 0.9991
0.5000 0.6629 0.4985
0.0000 0.3371 0.9985